(1)
# PBE AlPt2Cl, relaxed
data_AlPt2Cl
_chemical_formula_sum 'Al2 Pt4 Cl2'
_space_group_name_H-M_alt 'C 1 m 1'
_space_group_IT_number 8
_space_group_name_Hall 'C -2y'
_cell_length_a 10.390
_cell_length_b 2.873
_cell_length_c 5.313
_cell_angle_alpha 90.00
_cell_angle_beta 119.89
_cell_angle_gamma 90.00
loop_
_atom_site_label
_atom_site_type_symbol
_atom_site_fract_x
_atom_site_fract_y
_atom_site_fract_z
Al1 Al 0.000 0.000 0.000
Pt1 Pt 0.142 0.500 0.446
Pt2 Pt 0.405 0.000 0.549
Cl1 Cl 0.278 0.500 0.998
# E_form (uncorrected): -377.7 meV per atom
# Calculated total energy: -38.363 eV for the cell shown

=====

(2)
# PBE AlPtCl2, relaxed
data_AlPtCl2
_chemical_formula_sum 'Al2 Pt2 Cl4'
_space_group_name_H-M_alt 'C m m m'
_space_group_IT_number 65
_space_group_name_Hall '-C 2 2'
_cell_length_a 6.876
_cell_length_b 6.919
_cell_length_c 3.157
_cell_angle_alpha 90.00
_cell_angle_beta 90.00
_cell_angle_gamma 90.00
loop_
_atom_site_label
_atom_site_type_symbol
_atom_site_fract_x
_atom_site_fract_y
_atom_site_fract_z
Al1 Al 0.000 0.000 0.000
Pt1 Pt 0.000 0.500 0.000
Cl1 Cl 0.250 0.250 0.500
# E_form (uncorrected): 354.3 meV per atom
# Calculated total energy: -24.119 eV for the cell shown

=====

(3)
# PBE AlPtCl2, relaxed
data_AlPtCl2
_chemical_formula_sum 'Al2 Pt2 Cl4'
_space_group_name_H-M_alt 'C 1 m 1'
_space_group_IT_number 8
_space_group_name_Hall 'C -2y'
_cell_length_a 6.910
_cell_length_b 3.058
_cell_length_c 8.833
_cell_angle_alpha 90.00
_cell_angle_beta 106.34
_cell_angle_gamma 90.00
loop_
_atom_site_label
_atom_site_type_symbol
_atom_site_fract_x
_atom_site_fract_y
_atom_site_fract_z
Al1 Al 0.000 0.000 0.000
Pt1 Pt 0.229 0.000 0.832
Cl1 Cl 0.110 0.500 0.203
Cl2 Cl 0.484 0.000 0.630
# E_form (uncorrected): -720.5 meV per atom
# Calculated total energy: -32.717 eV for the cell shown

=====

(4)
# PBE AlPtCl2, relaxed
data_AlPtCl2
_chemical_formula_sum 'Al1 Pt1 Cl2'
_space_group_name_H-M_alt 'P 1 m 1'
_space_group_IT_number 6
_space_group_name_Hall 'P -2y'
_cell_length_a 5.093
_cell_length_b 3.555
_cell_length_c 5.100
_cell_angle_alpha 90.00
_cell_angle_beta 119.01
_cell_angle_gamma 90.00
loop_
_atom_site_label
_atom_site_type_symbol
_atom_site_fract_x
_atom_site_fract_y
_atom_site_fract_z
Al1 Al 0.000 0.000 0.000
Pt1 Pt 0.877 0.500 0.644
Cl1 Cl 0.328 0.500 0.539
Cl2 Cl 0.666 0.000 0.181
# E_form (uncorrected): -548.5 meV per atom
# Calculated total energy: -15.671 eV for the cell shown

=====

(5)
# PBE AlPt2Cl, relaxed
data_AlPt2Cl
_chemical_formula_sum 'Al4 Pt8 Cl4'
_space_group_name_H-M_alt 'I -4 2 d'
_space_group_IT_number 122
_space_group_name_Hall 'I -4 2bw'
_cell_length_a 4.037
_cell_length_b 4.037
_cell_length_c 17.238
_cell_angle_alpha 90.00
_cell_angle_beta 90.00
_cell_angle_gamma 90.00
loop_
_atom_site_label
_atom_site_type_symbol
_atom_site_fract_x
_atom_site_fract_y
_atom_site_fract_z
Al1 Al 0.000 0.000 0.000
Pt1 Pt 0.236 0.250 0.125
Cl1 Cl 0.000 0.000 0.500
# E_form (uncorrected): -40.2 meV per atom
# Calculated total energy: -71.326 eV for the cell shown

=====

(6)
# PBE AlPt2Cl, relaxed
data_AlPt2Cl
_chemical_formula_sum 'Al1 Pt2 Cl1'
_space_group_name_H-M_alt 'P m m m'
_space_group_IT_number 47
_space_group_name_Hall '-P 2 2'
_cell_length_a 3.032
_cell_length_b 3.159
_cell_length_c 6.936
_cell_angle_alpha 90.00
_cell_angle_beta 90.00
_cell_angle_gamma 90.00
loop_
_atom_site_label
_atom_site_type_symbol
_atom_site_fract_x
_atom_site_fract_y
_atom_site_fract_z
Al1 Al 0.000 0.000 0.000
Pt1 Pt 0.500 0.500 0.200
Cl1 Cl 0.000 0.000 0.500
# E_form (uncorrected): -380.2 meV per atom
# Calculated total energy: -19.191 eV for the cell shown

=====

(7)
# PBE AlPtCl2, relaxed
data_AlPtCl2
_chemical_formula_sum 'Al1 Pt1 Cl2'
_space_group_name_H-M_alt 'P m m m'
_space_group_IT_number 47
_space_group_name_Hall '-P 2 2'
_cell_length_a 3.057
_cell_length_b 3.762
_cell_length_c 6.341
_cell_angle_alpha 90.00
_cell_angle_beta 90.00
_cell_angle_gamma 90.00
loop_
_atom_site_label
_atom_site_type_symbol
_atom_site_fract_x
_atom_site_fract_y
_atom_site_fract_z
Al1 Al 0.000 0.000 0.000
Pt1 Pt 0.000 0.000 0.500
Cl1 Cl 0.500 0.500 0.245
# E_form (uncorrected): 370.2 meV per atom
# Calculated total energy: -11.996 eV for the cell shown

=====

(8)
# PBE AlPtCl2, relaxed
data_AlPtCl2
_chemical_formula_sum 'Al2 Pt2 Cl4'
_space_group_name_H-M_alt 'I -4 m 2'
_space_group_IT_number 119
_space_group_name_Hall 'I -4 -2'
_cell_length_a 5.678
_cell_length_b 5.678
_cell_length_c 4.891
_cell_angle_alpha 90.00
_cell_angle_beta 90.00
_cell_angle_gamma 90.00
loop_
_atom_site_label
_atom_site_type_symbol
_atom_site_fract_x
_atom_site_fract_y
_atom_site_fract_z
Al1 Al 0.000 0.000 0.000
Pt1 Pt 0.000 0.500 0.250
Cl1 Cl 0.000 0.000 0.500
Cl2 Cl 0.000 0.500 0.750
# E_form (uncorrected): 63.1 meV per atom
# Calculated total energy: -26.448 eV for the cell shown

=====

(9)
# PBE AlPt2Cl, relaxed
data_AlPt2Cl
_chemical_formula_sum 'Al2 Pt4 Cl2'
_space_group_name_H-M_alt 'I -4 m 2'
_space_group_IT_number 119
_space_group_name_Hall 'I -4 -2'
_cell_length_a 3.805
_cell_length_b 3.805
_cell_length_c 8.906
_cell_angle_alpha 90.00
_cell_angle_beta 90.00
_cell_angle_gamma 90.00
loop_
_atom_site_label
_atom_site_type_symbol
_atom_site_fract_x
_atom_site_fract_y
_atom_site_fract_z
Al1 Al 0.000 0.000 0.000
Pt1 Pt 0.000 0.000 0.500
Pt2 Pt 0.000 0.500 0.250
Cl1 Cl 0.000 0.500 0.750
# E_form (uncorrected): 65.3 meV per atom
# Calculated total energy: -34.819 eV for the cell shown

=====

(10)
# PBE AlPtCl2, relaxed
data_AlPtCl2
_chemical_formula_sum 'Al1 Pt1 Cl2'
_space_group_name_H-M_alt 'P 1 2/m 1'
_space_group_IT_number 10
_space_group_name_Hall '-P 2y'
_cell_length_a 4.461
_cell_length_b 3.967
_cell_length_c 4.473
_cell_angle_alpha 90.00
_cell_angle_beta 96.38
_cell_angle_gamma 90.00
loop_
_atom_site_label
_atom_site_type_symbol
_atom_site_fract_x
_atom_site_fract_y
_atom_site_fract_z
Al1 Al 0.000 0.000 0.000
Pt1 Pt 0.500 0.000 0.500
Cl1 Cl 0.263 0.500 0.738
# E_form (uncorrected): -38.8 meV per atom
# Calculated total energy: -13.632 eV for the cell shown

=====

(11)
# PBE Al3PtCl, relaxed
data_Al3PtCl
_chemical_formula_sum 'Al3 Pt1 Cl1'
_space_group_name_H-M_alt 'P m -3 m'
_space_group_IT_number 221
_space_group_name_Hall '-P 4 2 3'
_cell_length_a 4.812
_cell_length_b 4.812
_cell_length_c 4.812
_cell_angle_alpha 90.00
_cell_angle_beta 90.00
_cell_angle_gamma 90.00
loop_
_atom_site_label
_atom_site_type_symbol
_atom_site_fract_x
_atom_site_fract_y
_atom_site_fract_z
Al1 Al 0.000 0.000 0.500
Pt1 Pt 0.000 0.000 0.000
Cl1 Cl 0.500 0.500 0.500
# E_form (uncorrected): -606.0 meV per atom
# Calculated total energy: -22.145 eV for the cell shown

=====

(12)
# PBE AlPt2Cl, relaxed
data_AlPt2Cl
_chemical_formula_sum 'Al1 Pt2 Cl1'
_space_group_name_H-M_alt 'P m m 2'
_space_group_IT_number 25
_space_group_name_Hall 'P 2 -2'
_cell_length_a 2.847
_cell_length_b 3.716
_cell_length_c 6.972
_cell_angle_alpha 90.00
_cell_angle_beta 90.00
_cell_angle_gamma 90.00
loop_
_atom_site_label
_atom_site_type_symbol
_atom_site_fract_x
_atom_site_fract_y
_atom_site_fract_z
Al1 Al 0.000 0.000 0.000
Pt1 Pt 0.000 0.000 0.631
Pt2 Pt 0.500 0.500 0.872
Cl1 Cl 0.500 0.500 0.382
# E_form (uncorrected): -145.7 meV per atom
# Calculated total energy: -18.253 eV for the cell shown

=====

- What is the E_form (uncorrected) in the seventh record?
  370.2 meV per atom